Record 1
The following is a GGA-PBE calculation of an optimized crystal structure of Sc4ZnFeN2, from OQMD.

The structure in POSCAR format:
```
Sc4ZnFeN2
1.0
3.1592 0.0000 0.0000
-1.5796 2.7360 0.0000
0.0000 0.0000 13.9549
Fe N Sc Zn
1 2 4 1
Direct
0.3333 0.6667 0.5000
0.0000 0.0000 0.2576
0.0000 0.0000 0.7424
0.3333 0.6667 0.1718
0.6667 0.3333 0.3534
0.6667 0.3333 0.6466
0.3333 0.6667 0.8282
0.6667 0.3333 0.0000
```

Values from the calculation:
**Total energy**: -7.327 eV per atom
**V**: 120.6 Å³/f.u.
**Calculated density**: 4.53 g/cm3

Record 2
The following is a GGA-PBE calculation of an optimized crystal structure of Sm2Ho2CBr3Cl2, from OQMD.

The structure in POSCAR format:
```
Sm2Ho2CBr3Cl2
1.0
8.6807 -1.8981 0.0000
8.6807 1.8981 0.0000
-1.9450 0.0000 7.8566
Br C Cl Ho Sm
3 1 2 2 2
Direct
0.1649 0.1649 0.3569
0.5000 0.5000 0.5000
0.8351 0.8351 0.6431
0.5000 0.5000 0.0000
0.8333 0.8333 0.1665
0.1667 0.1667 0.8335
0.9982 0.9982 0.2001
0.0018 0.0018 0.7999
0.6464 0.6464 0.0791
0.3536 0.3536 0.9209
```

Values from the calculation:
**Energy above the most stable polymorph in this dataset**: 0.06 eV per formula unit
**V**: 258.9 Å³/f.u.
**Calculated density**: 6.11 g/cm3

Record 3
The following is a GGA-PBE calculation of an optimized crystal structure of LiCuOsSeS2, from OQMD.

The structure in POSCAR format:
```
LiCuOsSeS2
1.0
2.1893 4.2480 -4.1057
-5.0168 -3.0587 2.2741
-1.2510 6.7426 6.3092
Cu Li Os S Se
2 2 2 4 2
Direct
0.0376 0.9624 0.2500
0.9624 0.0376 0.7500
0.7214 0.2786 0.2500
0.2786 0.7214 0.7500
0.5000 0.5000 0.0000
0.5000 0.5000 0.5000
0.1290 0.8710 0.0460
0.1290 0.8710 0.4540
0.8710 0.1290 0.5460
0.8710 0.1290 0.9540
0.3978 0.6022 0.2500
0.6022 0.3978 0.7500
```

Values from the calculation:
**Total energy**: -5.029 eV per atom
**V**: 100.6 Å³/f.u.
**Calculated density**: 6.67 g/cm3

Record 4
The following is a GGA-PBE calculation of an optimized crystal structure of InPW4N2, from OQMD.

The structure in POSCAR format:
```
InPW4N2
1.0
2.9459 0.0000 0.0000
-1.4730 2.5512 0.0000
0.0000 0.0000 14.1199
In N P W
1 2 1 4
Direct
0.3333 0.6667 0.5000
0.0000 0.0000 0.2320
0.0000 0.0000 0.7680
0.6667 0.3333 0.0000
0.3333 0.6667 0.1293
0.6667 0.3333 0.3279
0.6667 0.3333 0.6721
0.3333 0.6667 0.8707
```

Values from the calculation:
**Total energy**: -9.366 eV per atom
**V**: 106.1 Å³/f.u.
**Calculated density**: 14.23 g/cm3

Record 5
The following is a GGA-PBE calculation of an optimized crystal structure of KBeMoIr, from OQMD.

The structure in POSCAR format:
```
KBeMoIr
1.0
-2.6748 -2.9404 -2.0464
-2.7429 -2.5806 2.4094
-4.4136 0.7024 -0.1241
Be Ir K Mo
1 1 1 1
Direct
0.7500 0.7500 0.7500
0.0000 0.0000 0.0000
0.5000 0.5000 0.5000
0.2500 0.2500 0.2500
```

Values from the calculation:
**Energy above the most stable polymorph in this dataset**: 0.00 eV per formula unit
**V**: 63.2 Å³/f.u.
**Calculated density**: 8.84 g/cm3

Record 6
The following is a GGA-PBE calculation of an optimized crystal structure of YSnW2, from OQMD.

The structure in POSCAR format:
```
YSnW2
1.0
2.7233 1.8180 3.5108
0.7212 4.7386 0.2690
-2.0229 2.5390 3.5368
Sn W Y
1 2 1
Direct
0.5000 0.5000 0.5000
0.0000 0.0000 0.0000
0.7500 0.7500 0.7500
0.2500 0.2500 0.2500
```

Values from the calculation:
**Total energy**: -8.700 eV per atom
**V**: 78.2 Å³/f.u.
**Calculated density**: 12.21 g/cm3

Record 7
The following is a GGA-PBE calculation of an optimized crystal structure of Pr2H2ICl3, from OQMD.

The structure in POSCAR format:
```
Pr2H2ICl3
1.0
-0.0581 4.0110 -0.0820
-3.4448 -2.0569 -0.0130
-0.2202 0.2807 13.8831
Cl H I Pr
3 2 1 2
Direct
0.0000 0.0000 0.3888
0.6667 0.3333 0.6198
0.6667 0.3333 0.8730
0.6667 0.3333 0.2579
0.0000 0.0000 0.7474
0.0000 0.0000 0.1033
0.3333 0.6667 0.2636
0.3333 0.6667 0.7463
```

Values from the calculation:
**Total energy**: -4.545 eV per atom
**V**: 193.6 Å³/f.u.
**Calculated density**: 4.43 g/cm3

Record 8
The following is a GGA-PBE calculation of an optimized crystal structure of Ho2Os2O5, from OQMD.

The structure in POSCAR format:
```
Ho2Os2O5
1.0
-3.2179 6.0930 -0.5374
-3.3109 -1.8405 -1.0417
-1.0615 -0.2276 3.7757
Ho O Os
2 5 2
Direct
0.0000 0.0000 0.0000
0.5000 0.0000 0.0000
0.2458 0.5000 0.0000
0.7542 0.5000 0.0000
0.2458 0.0000 0.5000
0.7542 0.0000 0.5000
0.5000 0.5000 0.5000
0.1862 0.5000 0.5000
0.8138 0.5000 0.5000
```

Values from the calculation:
**Energy above the most stable polymorph in this dataset**: 0.00 eV per formula unit
**V**: 106.7 Å³/f.u.
**Calculated density**: 12.30 g/cm3

Record 9
The following is a GGA-PBE calculation of an optimized crystal structure of RbInCoSe3, from OQMD.

The structure in POSCAR format:
```
RbInCoSe3
1.0
-6.8939 6.1537 -1.2858
-2.1794 -2.8079 -1.7530
-1.2506 -4.4080 8.6152
Co In Rb Se
2 2 2 6
Direct
0.0689 0.2500 0.0832
0.9311 0.7500 0.9168
0.3365 0.7500 0.3786
0.6635 0.2500 0.6214
0.7946 0.7500 0.2571
0.2054 0.2500 0.7429
0.1879 0.7500 0.0395
0.5232 0.2500 0.3302
0.1236 0.2500 0.3462
0.8764 0.7500 0.6538
0.4768 0.7500 0.6698
0.8121 0.2500 0.9605
```

Values from the calculation:
**Total energy**: -4.130 eV per atom
**V**: 170.6 Å³/f.u.
**Calculated density**: 4.83 g/cm3

Record 10
The following is a GGA-PBE calculation of an optimized crystal structure of Be2GaAu, from OQMD.

The structure in POSCAR format:
```
Be2GaAu
1.0
-0.3858 -3.6335 2.0731
-3.8008 -1.6916 0.5846
-1.0852 -3.4927 -2.0669
Au Be Ga
1 2 1
Direct
0.2500 0.2500 0.2500
0.0000 0.0000 0.0000
0.7500 0.7500 0.7500
0.5000 0.5000 0.5000
```

Values from the calculation:
**Total energy**: -3.150 eV per atom
**V**: 52.4 Å³/f.u.
**Calculated density**: 9.02 g/cm3

Record 11
The following is a GGA-PBE calculation of an optimized crystal structure of GdTm2Al7Cu2, from OQMD.

The structure in POSCAR format:
```
GdTm2Al7Cu2
1.0
2.7311 1.5768 8.4495
-2.7311 1.5768 8.4495
0.0000 -3.1536 8.4495
Al Cu Gd Tm
7 2 1 2
Direct
0.5824 0.5824 0.0730
0.9270 0.4176 0.4176
0.4176 0.9270 0.4176
0.5000 0.5000 0.5000
0.5824 0.0730 0.5824
0.0730 0.5824 0.5824
0.4176 0.4176 0.9270
0.3352 0.3352 0.3352
0.6648 0.6648 0.6648
0.0000 0.0000 0.0000
0.1423 0.1423 0.1423
0.8577 0.8577 0.8577
```

Values from the calculation:
**Total energy**: -4.423 eV per atom
**V**: 218.3 Å³/f.u.
**Calculated density**: 6.17 g/cm3

Record 12
The following is a GGA-PBE calculation of an optimized crystal structure of ZnC2N2, from OQMD.

The structure in POSCAR format:
```
ZnC2N2
1.0
6.6187 -1.2636 -12.5242
7.6944 -6.4123 10.0964
-12.8238 -6.0995 -0.7785
C N Zn
24 24 12
Direct
0.1539 0.8105 0.0355
0.4645 0.2751 0.1185
0.8105 0.0355 0.1539
0.8815 0.8461 0.1566
0.7249 0.3434 0.1895
0.6895 0.8434 0.2249
0.1185 0.4645 0.2751
0.6539 0.5355 0.3105
0.1895 0.7249 0.3434
0.3815 0.6566 0.3461
0.6566 0.3461 0.3815
0.2751 0.1185 0.4645
0.3105 0.6539 0.5355
0.7751 0.9645 0.6185
0.5355 0.3105 0.6539
0.3461 0.3815 0.6566
0.8434 0.2249 0.6895
0.3434 0.1895 0.7249
0.9645 0.6185 0.7751
0.0355 0.1539 0.8105
0.2249 0.6895 0.8434
0.1566 0.8815 0.8461
0.8461 0.1566 0.8815
0.6185 0.7751 0.9645
0.3758 0.2204 0.0337
0.1579 0.8446 0.1242
0.7796 0.3133 0.1554
0.8446 0.1242 0.1579
0.9663 0.8421 0.1867
0.0337 0.3758 0.2204
0.6554 0.8133 0.2796
0.1554 0.7796 0.3133
0.4663 0.6867 0.3421
0.6579 0.6242 0.3446
0.2204 0.0337 0.3758
0.6867 0.3421 0.4663
0.7204 0.8758 0.5337
0.3446 0.6579 0.6242
0.8133 0.2796 0.6554
0.6242 0.3446 0.6579
0.3421 0.4663 0.6867
0.8758 0.5337 0.7204
0.3133 0.1554 0.7796
0.2796 0.6554 0.8133
0.1867 0.9663 0.8421
0.1242 0.1579 0.8446
0.5337 0.7204 0.8758
0.8421 0.1867 0.9663
0.8750 0.2500 0.1250
0.7500 0.8750 0.1250
0.6250 0.3750 0.2500
0.1250 0.8750 0.2500
0.2500 0.6250 0.3750
0.6250 0.7500 0.3750
0.3750 0.2500 0.6250
0.7500 0.3750 0.6250
0.8750 0.1250 0.7500
0.3750 0.6250 0.7500
0.2500 0.1250 0.8750
0.1250 0.7500 0.8750
```

Values from the calculation:
**Total energy**: -7.058 eV per atom
**V**: 184.5 Å³/f.u.
**Calculated density**: 1.06 g/cm3

Record 13
The following is a GGA-PBE calculation of an optimized crystal structure of BIrPt2, from OQMD.

The structure in POSCAR format:
```
BIrPt2
1.0
0.0000 3.0209 3.0209
3.0209 0.0000 3.0209
3.0209 3.0209 0.0000
B Ir Pt
1 1 2
Direct
0.5000 0.5000 0.5000
0.2500 0.2500 0.2500
0.0000 0.0000 0.0000
0.7500 0.7500 0.7500
```

Values from the calculation:
**Total energy**: -6.221 eV per atom
**V**: 55.1 Å³/f.u.
**Calculated density**: 17.87 g/cm3

Record 14
The following is a GGA-PBE calculation of an optimized crystal structure of LiZr2Os, from OQMD.

The structure in POSCAR format:
```
LiZr2Os
1.0
-3.3873 -2.2681 2.2303
3.1542 -2.8165 1.9263
0.2917 2.0680 2.5461
Li Os Zr
1 1 2
Direct
0.0000 0.0000 0.0000
0.5000 0.5000 0.0000
0.5000 0.0000 0.5000
0.0000 0.5000 0.5000
```

Values from the calculation:
**Energy above the most stable polymorph in this dataset**: 0.34 eV per formula unit
**V**: 71.1 Å³/f.u.
**Calculated density**: 8.87 g/cm3

Record 15
The following is a GGA-PBE calculation of an optimized crystal structure of NaZrCdTe3, from OQMD.

The structure in POSCAR format:
```
NaZrCdTe3
1.0
2.0922 -7.4811 0.0000
2.0922 7.4811 0.0000
0.0000 0.0000 11.1493
Cd Na Te Zr
2 2 6 2
Direct
0.9686 0.0314 0.2500
0.0314 0.9686 0.7500
0.2728 0.7272 0.2500
0.7272 0.2728 0.7500
0.8609 0.1391 0.0447
0.5962 0.4038 0.2500
0.8609 0.1391 0.4553
0.1391 0.8609 0.5447
0.4038 0.5962 0.7500
0.1391 0.8609 0.9553
0.5000 0.5000 0.0000
0.5000 0.5000 0.5000
```

Values from the calculation:
**Energy above the most stable polymorph in this dataset**: 0.00 eV per formula unit
**V**: 174.5 Å³/f.u.
**Calculated density**: 5.80 g/cm3

Record 16
The following is a GGA-PBE calculation of an optimized crystal structure of PrNdSi4, from OQMD.

The structure in POSCAR format:
```
PrNdSi4
1.0
-2.1162 2.1162 6.9916
2.1162 -2.1162 6.9916
2.1162 2.1162 -6.9916
Nd Pr Si
1 1 4
Direct
0.0000 0.0000 0.0000
0.2500 0.7500 0.5000
0.4157 0.4157 0.0000
0.5843 0.5843 0.0000
0.6651 0.1651 0.5000
0.8349 0.3349 0.5000
```

Values from the calculation:
**Total energy**: -5.805 eV per atom
**V**: 125.2 Å³/f.u.
**Calculated density**: 5.27 g/cm3

Record 17
The following is a GGA-PBE calculation of an optimized crystal structure of KPaO3, from OQMD.

The structure in POSCAR format:
```
KPaO3
1.0
-3.9440 -1.4375 1.2431
0.1189 -3.0448 -3.1435
1.9035 -2.8082 2.7920
K O Pa
1 3 1
Direct
0.0000 0.0000 0.0745
0.5000 0.5000 0.0815
0.5000 0.0000 0.5813
0.0000 0.5000 0.5813
0.5000 0.5000 0.5813
```

Values from the calculation:
**Total energy**: -7.776 eV per atom
**V**: 84.2 Å³/f.u.
**Calculated density**: 6.27 g/cm3

Record 18
The following is a GGA-PBE calculation of an optimized crystal structure of ZrNp2, from OQMD.

The structure in POSCAR format:
```
ZrNp2
1.0
4.0724 2.3512 6.6501
-4.0724 2.3512 6.6501
0.0000 -4.7024 6.6501
Np Zr
4 2
Direct
0.0000 0.0000 0.0000
0.5000 0.0000 0.0000
0.0000 0.5000 0.0000
0.0000 0.0000 0.5000
0.1250 0.1250 0.1250
0.8750 0.8750 0.8750
```

Values from the calculation:
**V**: 191.0 Å³/f.u.
**Energy of formation from the pure elements**: 269.63 kJ per mole of atoms
**Calculated density**: 4.91 g/cm3

Record 19
The following is a GGA-PBE calculation of an optimized crystal structure of LaDyS2, from OQMD.

The structure in POSCAR format:
```
LaDyS2
1.0
-1.5037 -0.0396 3.7020
-2.9097 -2.5727 0.9390
6.0381 -3.6223 0.2485
Dy La S
1 1 2
Direct
0.0000 0.0000 0.0000
0.5000 0.5000 0.5000
0.7432 0.7432 0.2294
0.2568 0.2568 0.7706
```

Values from the calculation:
**Energy above the most stable polymorph in this dataset**: 0.00 eV per formula unit
**V**: 92.1 Å³/f.u.
**Calculated density**: 6.59 g/cm3

Record 20
The following is a GGA-PBE calculation of an optimized crystal structure of HgBiPtAu, from OQMD.

The structure in POSCAR format:
```
HgBiPtAu
1.0
0.0000 3.4885 3.4885
3.4885 0.0000 3.4885
3.4885 3.4885 0.0000
Au Bi Hg Pt
1 1 1 1
Direct
0.7500 0.7500 0.7500
0.5000 0.5000 0.5000
0.0000 0.0000 0.0000
0.2500 0.2500 0.2500
```

Values from the calculation:
**Energy above the most stable polymorph in this dataset**: 0.00 eV per formula unit
**V**: 84.9 Å³/f.u.
**Calculated density**: 15.68 g/cm3

Record 21
The following is a GGA-PBE calculation of an optimized crystal structure of LiLaHfPd, from OQMD.

The structure in POSCAR format:
```
LiLaHfPd
1.0
0.3586 3.1326 3.6573
-2.9192 3.8422 0.1832
-3.4851 0.2275 3.3346
Hf La Li Pd
1 1 1 1
Direct
0.2500 0.2500 0.2500
0.5000 0.5000 0.5000
0.7500 0.7500 0.7500
0.0000 0.0000 0.0000
```

Values from the calculation:
**Energy above the most stable polymorph in this dataset**: 0.00 eV per formula unit
**V**: 79.6 Å³/f.u.
**Calculated density**: 8.98 g/cm3

Record 22
The following is a GGA-PBE calculation of an optimized crystal structure of YAsIrO, from OQMD.

The structure in POSCAR format:
```
YAsIrO
1.0
3.3623 0.0000 0.0000
0.0000 7.9976 0.0000
0.0000 0.0000 5.4249
As Ir O Y
2 2 2 2
Direct
0.0000 0.4301 0.4255
0.0000 0.5699 0.9255
0.5000 0.2168 0.4344
0.5000 0.7832 0.9344
0.5000 0.9604 0.4709
0.5000 0.0396 0.9709
0.0000 0.8022 0.4233
0.0000 0.1978 0.9233
```

Values from the calculation:
**Energy above the most stable polymorph in this dataset**: 2.38 eV per formula unit
**V**: 72.9 Å³/f.u.
**Calculated density**: 8.47 g/cm3

Record 23
The following is a GGA-PBE calculation of an optimized crystal structure of NbZnAsO, from OQMD.

The structure in POSCAR format:
```
NbZnAsO
1.0
-1.5305 -2.4628 1.7266
5.1111 -3.7405 -0.8050
2.3125 2.0801 5.0170
As Nb O Zn
2 2 2 2
Direct
0.0000 0.7340 0.3547
0.0000 0.2660 0.8547
0.5000 0.4983 0.1025
0.5000 0.5017 0.6025
0.5000 0.2557 0.3490
0.5000 0.7443 0.8490
0.0000 0.1049 0.4478
0.0000 0.8951 0.9478
```

Values from the calculation:
**Total energy**: -6.095 eV per atom
**V**: 63.6 Å³/f.u.
**Calculated density**: 6.51 g/cm3